Record 1
Density functional theory data (PBE) for crystalline Tm5SnIr4 at its relaxed geometry.

Values from the calculation:
Mass density (g cm⁻³): 14.0
Total energy (eV per atom): -7.053

Cell lengths 3.2891, 3.2891, 19.0500 Å; angles 90.00, 90.00, 90.00 degrees
Space group P4/mmm (No. 123)
Asymmetric unit:
Tm  0.0000  0.0000  0.0000
Tm  0.0000  0.0000  0.1862
Tm  0.0000  0.0000  0.3721
Sn  0.5000  0.5000  0.5000
Ir  0.5000  0.5000  0.0933
Ir  0.5000  0.5000  0.2823

---

Record 2
Density functional theory data (PBE) for crystalline Tm5Sn2Ir at its relaxed geometry.

Values from the calculation:
Mass density (g cm⁻³): 7.2
Total energy (eV per atom): -5.157

Cell lengths 5.5262, 15.4971, 13.6570 Å; angles 90.00, 90.00, 90.00 degrees
Space group Cmcm (No. 63)
Asymmetric unit:
Tm  0.0000  0.0522  0.1173
Tm  0.0000  0.2824  0.0935
Tm  0.0000  0.2864  0.7500
Sn  0.0000  0.1417  0.5798
Ir  0.0000  0.1770  0.2500

---

Record 3
Density functional theory data (PBE) for crystalline TmSn2Ir at its relaxed geometry.

Values from the calculation:
Mass density (g cm⁻³): 11.2
Total energy (eV per atom): -5.767

Cell lengths 4.4800, 4.4800, 15.2776 Å; angles 90.00, 90.00, 120.00 degrees
Space group R-3m (No. 166, hexagonal axes)
Asymmetric unit:
Tm  0.0000  0.0000  0.0000
Sn  0.0000  0.0000  0.2276
Ir  0.0000  0.0000  0.5000

---

> Number 1 is which compound?

Tm5SnIr4